PBE La2ZrPbO, relaxed; spin magnetization = 0.64 μB per formula unit; formation energy from raw total energies = -1.28 eV per atom; uncorrected energy = -33.45 eV/cell
1.0
5.2447 0.0000 0.0000
0.0000 5.2447 0.0000
0.0000 0.0000 4.4282
Pb O Zr La
1 1 1 2
Direct
0.5000 0.5000 0.5000 Pb
0.0000 0.0000 0.0000 O
0.0000 0.0000 0.5000 Zr
0.0000 0.5000 0.0000 La
0.5000 0.0000 0.0000 La

=====

PBE La2PdO, relaxed; spin magnetization = 0.00 μB per formula unit; formation energy from raw total energies = -1.65 eV per atom; uncorrected energy = -53.23 eV/cell
1.0
-0.3642 -6.6461 -1.4495
6.5610 0.0401 -1.8320
4.2590 -4.2685 2.4947
O Pd La
2 2 4
Direct
0.5000 0.5000 0.0000 O
0.2500 0.7500 0.5000 O
0.0000 0.0000 0.0000 Pd
0.7500 0.2500 0.5000 Pd
0.5629 0.1250 0.2500 La
0.1871 0.6250 0.2500 La
0.3750 0.4371 0.7500 La
0.8750 0.8129 0.7500 La

=====

PBE LaPdO2, relaxed; spin magnetization = 1.00 μB per formula unit; formation energy from raw total energies = -1.74 eV per atom; uncorrected energy = -54.03 eV/cell
1.0
-3.9220 0.2463 -2.4971
1.0548 -4.0423 -2.0555
-4.5513 -5.0438 2.3103
O Pd La
4 2 2
Direct
0.6072 0.1250 0.2500 O
0.1428 0.6250 0.2500 O
0.3750 0.3928 0.7500 O
0.8750 0.8572 0.7500 O
0.5000 0.5000 0.0000 Pd
0.2500 0.7500 0.5000 Pd
0.0000 0.0000 0.0000 La
0.7500 0.2500 0.5000 La